Crystalline PuHfFeRe at its relaxed geometry. Source: Alexandria via LeMat-Bulk, functional PBE.

Cell lengths 4.657, 4.657, 4.657 Å; angles 60.00, 60.00, 60.00 degrees
Fractional coordinates of all 4 atoms:
Pu (0.000, 0.000, 0.000)
Hf (0.500, 0.500, 0.500)
Fe (0.750, 0.750, 0.750)
Re (0.250, 0.250, 0.250)

* electronic total energy: -11.34 eV/atom
* ΔH_f (0 K): -0.043 eV/atom
* spin magnetization: 2.7 μB per formula unit